# PBE-GGA La2Sm, optimized geometry
# E_form in eV/f.u.: 0.06
# DOS at the Fermi energy in states/eV per cell: 30.53
# Mass density in g/cm3: 6.58
# Energy above the most stable polymorph in this dataset in meV per atom: 0
data_La2Sm
_space_group_name_H-M_alt 'R -3 m'
_space_group_IT_number 166
_space_group_name_Hall '-R 3 2"'
_cell_length_a 3.7078
_cell_length_b 3.7078
_cell_length_c 54.4570
_cell_angle_alpha 90.00
_cell_angle_beta 90.00
_cell_angle_gamma 120.00
loop_
_atom_site_label
_atom_site_fract_x
_atom_site_fract_y
_atom_site_fract_z
La1 0.0000 0.0000 0.1384
La2 0.0000 0.0000 0.3045
Sm1 0.0000 0.0000 0.4169